No. 1
Compound: Ce3In2Hg8
Source: the Alexandria database
Functional: GGA-PBE
Structure: relaxed

ΔE_f, meV per atom: -62

Cell lengths 6.1224, 6.1224, 33.8313 Å; angles 90.00, 90.00, 120.00 degrees
Space group R-3m (No. 166, hexagonal axes)
One atom of each set of equivalent atoms:
Ce1 0.0000 0.0000 0.0000
Ce2 0.0000 0.0000 0.1884
In1 0.0000 0.0000 0.3666
Hg1 0.0000 0.0000 0.2819
Hg2 0.0000 0.5000 0.2261

No. 2
Compound: Ac6IrRu2Br3
Source: the Alexandria database
Functional: GGA-PBE
Structure: relaxed

Formation energy (no corrections), meV/atom: -951

Cell lengths 7.4873, 12.9696, 8.6298 Å; angles 90.00, 106.82, 90.00 degrees
Space group C2/m (No. 12)
One atom of each set of equivalent atoms:
Ac1 0.2277 0.0000 0.1943
Ac2 0.2333 0.3316 0.1942
Ir1 0.0000 0.5000 0.0000
Ru1 0.0000 0.1665 0.0000
Br1 0.0000 0.0000 0.5000
Br2 0.0000 0.3307 0.5000

No. 3
Compound: NaTiIr2C
Source: the Alexandria database
Functional: GGA-PBE
Structure: relaxed

ΔE_f, meV per atom: 318

Cell lengths 4.0202, 4.0202, 4.4879 Å; angles 90.00, 90.00, 90.00 degrees
Space group P4/mmm (No. 123)
One atom of each set of equivalent atoms:
Na1 0.0000 0.0000 0.0000
Ti1 0.5000 0.5000 0.0000
Ir1 0.0000 0.5000 0.5000
C1 0.0000 0.0000 0.5000

No. 4
Compound: Ho6ErSc6
Source: the Alexandria database
Functional: GGA-PBE
Structure: relaxed

ΔE_f, meV per atom: 205

Cell lengths 6.6631, 10.6304, 10.6015 Å; angles 90.00, 90.00, 90.00 degrees
Space group Cmmm (No. 65)
One atom of each set of equivalent atoms:
Ho1 0.0000 0.0000 0.1673
Ho2 0.0000 0.2828 0.0000
Ho3 0.0000 0.3517 0.5000
Er1 0.0000 0.0000 0.5000
Sc1 0.0000 0.5000 0.2117
Sc2 0.2500 0.2500 0.2739

No. 5
Compound: TcCO2
Source: the Alexandria database
Functional: GGA-PBE
Structure: relaxed

Formation energy (no corrections), meV/atom: 1053

Cell lengths 4.4314, 4.4314, 8.2040 Å; angles 90.00, 90.00, 90.00 degrees
Space group I-42d (No. 122)
One atom of each set of equivalent atoms:
Tc1 0.0000 0.0000 0.0000
C1 0.0000 0.0000 0.5000
O1 0.1546 0.2500 0.6250

No. 6
Compound: SrMg2GaH
Source: the Alexandria database
Functional: GGA-PBE
Structure: relaxed

Energy relative to the lowest polymorph listed for this composition, eV/atom: 0.147

Cell lengths 4.6237, 4.6237, 4.8317 Å; angles 90.00, 90.00, 90.00 degrees
Space group P4/mmm (No. 123)
One atom of each set of equivalent atoms:
Sr1 0.0000 0.0000 0.0000
Mg1 0.0000 0.5000 0.5000
Ga1 0.5000 0.5000 0.0000
H1 0.0000 0.0000 0.5000

No. 7
Compound: CaMo2RuRh
Source: the Alexandria database
Functional: GGA-PBE
Structure: relaxed

ΔE_f, meV per atom: 1376

Cell lengths 4.6537, 4.6537, 5.1600 Å; angles 90.00, 90.00, 90.00 degrees
Space group P4/mmm (No. 123)
One atom of each set of equivalent atoms:
Ca1 0.0000 0.0000 0.0000
Mo1 0.0000 0.5000 0.5000
Ru1 0.0000 0.0000 0.5000
Rh1 0.5000 0.5000 0.0000

No. 8
Compound: Tl2SeS
Source: the Alexandria database
Functional: GGA-PBE
Structure: relaxed

Energy relative to the lowest polymorph listed for this composition, eV/atom: 0.062
Formation energy (no corrections), meV/atom: -176

Cell lengths 7.5677, 8.1659, 7.3986 Å; angles 90.00, 90.00, 90.00 degrees
Space group Pna2_1 (No. 33)
One atom of each set of equivalent atoms:
Tl1 0.1554 0.1266 0.0000
Tl2 0.1747 0.6239 0.0062
Se1 0.1513 0.3760 0.2914
S1 0.1513 0.8742 0.2905

Summary of size of the total moment in μB per cell
1.03, 0.00, 0.00, 0.00, 2.05, 0.00, 1.73, 0.00
(order as listed above)
Summary of N(E_F) in states/eV per atom
2.16, 0.61, 0.95, 1.66, 0.70, 0.39, 1.41, 0.38
(order as listed above)